First-principles (PBE) data for an optimized crystal structure of Sc2NbCl, as listed in Alexandria.

Cell lengths 4.8718, 4.8718, 4.8718 Å; angles 60.00, 60.00, 60.00 degrees
With the nearest neighbours (Å) after each atom.
Fractional positions:
Sc (0.2500, 0.2500, 0.2500)  4 Nb 2.98, 4 Cl 2.98
Sc (0.7500, 0.7500, 0.7500)  4 Cl 2.98, 4 Nb 2.98
Nb (0.0000, 0.0000, 0.0000)  8 Sc 2.98
Cl (0.5000, 0.5000, 0.5000)  8 Sc 2.98

Crystal system ... cubic
E_form (uncorrected) ... 0.28 eV per atom
Electronic total energy ... -5.868 eV per atom
Magnetization ... 0.00 μB per atom